DFT (GGA+U) results for a relaxed Li2ScMoO4 crystal.

N(E_F), states/eV per cell: 0.00
Total magnetic moment, μB per formula unit: 3.0
E, eV per atom: -7.0144

Cell and atoms, written as CIF:
```
data_Li2ScMoO4
_cell_length_a 4.291
_cell_length_b 4.291
_cell_length_c 9.164
_cell_angle_alpha 90.00
_cell_angle_beta 90.00
_cell_angle_gamma 90.00
_symmetry_space_group_name_H-M 'I -4 m 2'
_symmetry_Int_Tables_number 119
_symmetry_space_group_name_Hall 'I -4 -2'
loop_
_atom_site_label
_atom_site_type_symbol
_atom_site_fract_x
_atom_site_fract_y
_atom_site_fract_z
Li1 Li 0.000 0.000 0.000
Li2 Li 0.000 0.500 0.250
Sc1 Sc 0.000 0.500 0.750
Mo1 Mo 0.000 0.000 0.500
O1 O 0.000 0.000 0.262
O2 O 0.000 0.500 0.518
```